<P>
A plane-wave DFT calculation with PBE was carried out for a geometry-optimized V4GaW structure.

Results
**Space-group type**: No. 216

Unit cell a=4.934 b=4.934 c=4.934 alpha=60.00 beta=60.00 gamma=60.00
Element x y z (fractional)
Ga 0.000 0.000 0.000
W 0.250 0.250 0.250
V 0.624 0.624 0.129
V 0.624 0.129 0.624
V 0.624 0.624 0.624
V 0.129 0.624 0.624



<Q>
A plane-wave DFT calculation with PBE was carried out for a geometry-optimized V4GaW structure.

Results
**Space-group type**: No. 12

Unit cell a=4.126 b=4.091 c=7.315 alpha=73.38 beta=73.62 gamma=59.71
Element x y z (fractional)
V 0.622 0.625 0.132
V 0.378 0.375 0.868
V 0.123 0.124 0.631
V 0.877 0.876 0.369
Ga 0.000 0.000 0.000
W 0.500 0.500 0.500



<R>
A plane-wave DFT calculation with PBE was carried out for a geometry-optimized V4GaW structure.

Results
**Space-group type**: No. 12

Unit cell a=3.151 b=5.009 c=6.631 alpha=111.37 beta=103.74 gamma=108.34
Element x y z (fractional)
V 0.345 0.518 0.672
V 0.655 0.482 0.328
V 0.163 0.997 0.830
V 0.837 0.003 0.170
Ga 0.500 0.000 0.500
W 0.000 0.500 0.000



The most stable of them is <R>.



<P>
A plane-wave DFT calculation with PBE was carried out for a geometry-optimized YV3Ga structure.

Results
**Space-group type**: No. 221

Unit cell a=4.736 b=4.736 c=4.736 alpha=90.00 beta=90.00 gamma=90.00
Each line ends with the local moment (μB).
Element x y z (fractional)
Y 0.500 0.500 0.500  0.23
Ga 0.000 0.000 0.000  0.03
V 0.000 0.500 0.000  1.95
V 0.000 0.000 0.500  1.95
V 0.500 0.000 0.000  1.95



<Q>
A plane-wave DFT calculation with PBE was carried out for a geometry-optimized YV3Ga structure.

Results
**Space-group type**: No. 221

Unit cell a=4.624 b=4.624 c=4.624 alpha=90.00 beta=90.00 gamma=90.00
Element x y z (fractional)
Y 0.000 0.000 0.000
Ga 0.500 0.500 0.500
V 0.000 0.500 0.000
V 0.000 0.000 0.500
V 0.500 0.000 0.000



The most stable of them is <P>.



<P>
A plane-wave DFT calculation with PBE was carried out for a geometry-optimized VZn3Ga structure.

Results
**Space-group type**: No. 221

Unit cell a=4.686 b=4.686 c=4.686 alpha=90.00 beta=90.00 gamma=90.00
Each line ends with the local moment (μB).
Element x y z (fractional)
Zn 0.000 0.500 0.000  -0.01
Zn 0.000 0.000 0.500  -0.01
Zn 0.500 0.000 0.000  -0.01
Ga 0.000 0.000 0.000  -0.01
V 0.500 0.500 0.500  2.95



<Q>
A plane-wave DFT calculation with PBE was carried out for a geometry-optimized VZn3Ga structure.

Results
**Space-group type**: No. 221

Unit cell a=4.954 b=4.954 c=4.954 alpha=90.00 beta=90.00 gamma=90.00
Each line ends with the local moment (μB).
Element x y z (fractional)
Zn 0.000 0.500 0.000  0.11
Zn 0.000 0.000 0.500  0.11
Zn 0.500 0.000 0.000  0.11
Ga 0.500 0.500 0.500  0.01
V 0.000 0.000 0.000  2.76



The most stable of them is <Q>.



<P>
A plane-wave DFT calculation with PBE was carried out for a geometry-optimized VZn2Ga2 structure.

Results
**Space-group type**: No. 127

Unit cell a=7.189 b=7.189 c=2.992 alpha=90.00 beta=90.00 gamma=90.00
Each line ends with the local moment (μB).
Element x y z (fractional)
Zn 0.376 0.876 0.000  -0.01
Zn 0.876 0.624 0.000  -0.01
Zn 0.624 0.124 0.000  -0.01
Zn 0.124 0.376 0.000  -0.01
Ga 0.178 0.678 0.500  -0.03
Ga 0.678 0.822 0.500  -0.03
Ga 0.822 0.322 0.500  -0.03
Ga 0.322 0.178 0.500  -0.03
V 0.000 0.000 0.000  0.65
V 0.500 0.500 0.000  0.65



<Q>
A plane-wave DFT calculation with PBE was carried out for a geometry-optimized VZn2Ga2 structure.

Results
**Space-group type**: No. 127

Unit cell a=7.120 b=7.120 c=3.068 alpha=90.00 beta=90.00 gamma=90.00
Element x y z (fractional)
Zn 0.155 0.655 0.500
Zn 0.655 0.845 0.500
Zn 0.845 0.345 0.500
Zn 0.345 0.155 0.500
Ga 0.354 0.854 0.000
Ga 0.854 0.646 0.000
Ga 0.646 0.146 0.000
Ga 0.146 0.354 0.000
V 0.000 0.000 0.000
V 0.500 0.500 0.000



The most stable of them is <Q>.



<P>
A plane-wave DFT calculation with PBE was carried out for a geometry-optimized ZrVGa3 structure.

Results
**Space-group type**: No. 221

Unit cell a=5.095 b=5.095 c=5.095 alpha=90.00 beta=90.00 gamma=90.00
Each line ends with the local moment (μB).
Element x y z (fractional)
Zr 0.000 0.000 0.000  -0.26
Ga 0.000 0.500 0.000  -0.05
Ga 0.000 0.000 0.500  -0.05
Ga 0.500 0.000 0.000  -0.05
V 0.500 0.500 0.500  2.92



<Q>
A plane-wave DFT calculation with PBE was carried out for a geometry-optimized ZrVGa3 structure.

Results
**Space-group type**: No. 107

Unit cell a=3.889 b=3.889 c=6.571 alpha=107.21 beta=107.21 gamma=90.00
Each line ends with the local moment (μB).
Element x y z (fractional)
Zr 0.979 0.979 0.958  -0.02
V 0.634 0.634 0.268  1.44
Ga 0.274 0.774 0.549  -0.01
Ga 0.774 0.274 0.549  -0.01
Ga 0.429 0.429 0.857  0.03



The most stable of them is <Q>.



<P>
A plane-wave DFT calculation with PBE was carried out for a geometry-optimized ZrVGa structure.

Results
**Space-group type**: No. 62

Unit cell a=3.523 b=7.123 c=8.346 alpha=90.00 beta=90.00 gamma=90.00
Element x y z (fractional)
Ga 0.250 0.750 0.633
Ga 0.750 0.250 0.367
Ga 0.250 0.250 0.867
Ga 0.750 0.750 0.133
Zr 0.250 0.948 0.332
Zr 0.750 0.052 0.668
Zr 0.250 0.448 0.168
Zr 0.750 0.552 0.832
V 0.250 0.891 0.937
V 0.750 0.109 0.063
V 0.250 0.391 0.563
V 0.750 0.609 0.437



<Q>
A plane-wave DFT calculation with PBE was carried out for a geometry-optimized ZrVGa structure.

Results
**Space-group type**: No. 107

Unit cell a=2.919 b=2.919 c=6.415 alpha=103.15 beta=103.15 gamma=90.00
Element x y z (fractional)
Zr 0.952 0.952 0.904
Ga 0.272 0.272 0.544
V 0.626 0.626 0.252



<R>
A plane-wave DFT calculation with PBE was carried out for a geometry-optimized ZrVGa structure.

Results
**Space-group type**: No. 2

Unit cell a=5.098 b=3.336 c=6.782 alpha=90.03 beta=109.00 gamma=70.87
Element x y z (fractional)
Zr 0.688 0.156 0.409
Zr 0.312 0.844 0.591
V 0.640 0.179 0.928
V 0.360 0.821 0.072
Ga 0.988 0.507 0.790
Ga 0.012 0.493 0.210



<S>
A plane-wave DFT calculation with PBE was carried out for a geometry-optimized ZrVGa structure.

Results
**Space-group type**: No. 156

Unit cell a=3.168 b=4.476 c=4.476 alpha=120.00 beta=90.00 gamma=90.00
Each line ends with the local moment (μB).
Element x y z (fractional)
Ga 0.166 0.000 0.000  -0.01
Zr 0.666 0.333 0.667  0.09
V 0.168 0.667 0.333  1.96



The most stable of them is <P>.



<P>
A plane-wave DFT calculation with PBE was carried out for a geometry-optimized Zr3VGa structure.

Results
**Space-group type**: No. 221

Unit cell a=5.009 b=5.009 c=5.009 alpha=90.00 beta=90.00 gamma=90.00
Each line ends with the local moment (μB).
Element x y z (fractional)
Zr 0.000 0.500 0.000  0.00
Zr 0.000 0.000 0.500  0.00
Zr 0.500 0.000 0.000  0.00
Ga 0.000 0.000 0.000  0.03
V 0.500 0.500 0.500  2.58



<Q>
A plane-wave DFT calculation with PBE was carried out for a geometry-optimized Zr3VGa structure.

Results
**Space-group type**: No. 221

Unit cell a=4.848 b=4.848 c=4.848 alpha=90.00 beta=90.00 gamma=90.00
Element x y z (fractional)
Zr 0.000 0.500 0.000
Zr 0.000 0.000 0.500
Zr 0.500 0.000 0.000
Ga 0.500 0.500 0.500
V 0.000 0.000 0.000



The most stable of them is <Q>.



<P>
A plane-wave DFT calculation with PBE was carried out for a geometry-optimized Ga4W structure.

Results
**Space-group type**: No. 229

Unit cell a=5.110 b=5.110 c=5.110 alpha=109.47 beta=109.47 gamma=109.47
Element x y z (fractional)
Ga 0.500 0.500 0.500
Ga 0.500 0.000 0.000
Ga 0.000 0.000 0.500
Ga 0.000 0.500 0.000
W 0.000 0.000 0.000



<Q>
A plane-wave DFT calculation with PBE was carried out for a geometry-optimized Ga4W structure.

Results
**Space-group type**: No. 221

Unit cell a=4.954 b=4.954 c=4.954 alpha=90.00 beta=90.00 gamma=90.00
Element x y z (fractional)
Ga 0.000 0.000 0.000
Ga 0.500 0.000 0.500
Ga 0.000 0.500 0.500
Ga 0.500 0.500 0.000
W 0.500 0.500 0.500



The most stable of them is <P>.